Record 1
# MnZnRe2, optimized geometry, DFT PBE
data_MnZnRe2
_chemical_formula_sum 'Mn1 Zn1 Re2'
_cell_length_a 4.283
_cell_length_b 4.283
_cell_length_c 4.283
_cell_angle_alpha 60.00
_cell_angle_beta 60.00
_cell_angle_gamma 60.00
_space_group_name_H-M_alt 'P 1'
_space_group_IT_number 1
loop_
_space_group_symop_operation_xyz
'x,y,z'
loop_
_atom_site_label
_atom_site_fract_x
_atom_site_fract_y
_atom_site_fract_z
Mn1 0.500 0.500 0.500
Re1 0.750 0.750 0.750
Re2 0.000 0.000 0.000
Zn1 0.250 0.250 0.250
# Symmetry   F-43m (216)
# Formation enthalpy at 0 K   22 kJ per mole of atoms


Record 2
# Mn2ZnRe, optimized geometry, DFT PBE
data_Mn2ZnRe
_chemical_formula_sum 'Mn2 Zn1 Re1'
_cell_length_a 8.644
_cell_length_b 8.644
_cell_length_c 8.644
_cell_angle_alpha 17.70
_cell_angle_beta 17.70
_cell_angle_gamma 17.70
_space_group_name_H-M_alt 'P 1'
_space_group_IT_number 1
loop_
_space_group_symop_operation_xyz
'x,y,z'
loop_
_atom_site_label
_atom_site_fract_x
_atom_site_fract_y
_atom_site_fract_z
Re1 0.250 0.250 0.250
Mn1 0.999 0.999 0.999
Mn2 0.501 0.501 0.501
Zn1 0.750 0.750 0.750
# Symmetry   R-3m (166)
# Formation enthalpy at 0 K   18 kJ per mole of atoms


Record 3
# MnZnRe2, optimized geometry, DFT PBE
data_MnZnRe2
_chemical_formula_sum 'Mn1 Zn1 Re2'
_cell_length_a 4.837
_cell_length_b 4.837
_cell_length_c 2.631
_cell_angle_alpha 90.00
_cell_angle_beta 90.00
_cell_angle_gamma 114.16
_space_group_name_H-M_alt 'P 1'
_space_group_IT_number 1
loop_
_space_group_symop_operation_xyz
'x,y,z'
loop_
_atom_site_label
_atom_site_fract_x
_atom_site_fract_y
_atom_site_fract_z
Zn1 0.500 0.000 0.500
Re1 0.500 0.500 0.000
Re2 0.000 0.000 0.000
Mn1 0.000 0.500 0.500
# Symmetry   Cmmm (65)
# Formation enthalpy at 0 K   29 kJ per mole of atoms


Record 4
# MnZnRe2, optimized geometry, DFT PBE
data_MnZnRe2
_chemical_formula_sum 'Mn1 Zn1 Re2'
_cell_length_a 4.727
_cell_length_b 4.727
_cell_length_c 4.638
_cell_angle_alpha 77.48
_cell_angle_beta 77.48
_cell_angle_gamma 33.98
_space_group_name_H-M_alt 'P 1'
_space_group_IT_number 1
loop_
_space_group_symop_operation_xyz
'x,y,z'
loop_
_atom_site_label
_atom_site_fract_x
_atom_site_fract_y
_atom_site_fract_z
Mn1 0.250 0.250 0.250
Re1 0.511 0.511 0.491
Re2 0.989 0.989 0.009
Zn1 0.750 0.750 0.750
# Symmetry   C2/m (12)
# Formation enthalpy at 0 K   15 kJ per mole of atoms


Record 5
# Mn2ZnRe, optimized geometry, DFT PBE
data_Mn2ZnRe
_chemical_formula_sum 'Mn2 Zn1 Re1'
_cell_length_a 4.921
_cell_length_b 4.921
_cell_length_c 4.921
_cell_angle_alpha 145.15
_cell_angle_beta 129.90
_cell_angle_gamma 62.48
_space_group_name_H-M_alt 'P 1'
_space_group_IT_number 1
loop_
_space_group_symop_operation_xyz
'x,y,z'
loop_
_atom_site_label
_atom_site_fract_x
_atom_site_fract_y
_atom_site_fract_z
Mn1 0.991 0.991 0.000
Mn2 0.753 0.253 0.500
Zn1 0.244 0.744 0.500
Re1 0.512 0.512 0.000
# Symmetry   Imm2 (44)
# Formation enthalpy at 0 K   15 kJ per mole of atoms


Record 6
# Mn2ZnRe, optimized geometry, DFT PBE
data_Mn2ZnRe
_chemical_formula_sum 'Mn4 Zn2 Re2'
_cell_length_a 6.743
_cell_length_b 6.743
_cell_length_c 5.425
_cell_angle_alpha 51.58
_cell_angle_beta 51.58
_cell_angle_gamma 90.00
_space_group_name_H-M_alt 'P 1'
_space_group_IT_number 1
loop_
_space_group_symop_operation_xyz
'x,y,z'
loop_
_atom_site_label
_atom_site_fract_x
_atom_site_fract_y
_atom_site_fract_z
Re1 0.750 0.250 0.500
Re2 0.000 0.000 0.000
Mn1 0.648 0.125 0.250
Mn2 0.875 0.898 0.750
Mn3 0.375 0.352 0.750
Mn4 0.102 0.625 0.250
Zn1 0.250 0.750 0.500
Zn2 0.500 0.500 0.000
# Symmetry   I-42d (122)
# Formation enthalpy at 0 K   68 kJ per mole of atoms


Record 7
# MnZnRe, optimized geometry, DFT PBE
data_MnZnRe
_chemical_formula_sum 'Mn1 Zn1 Re1'
_cell_length_a 4.212
_cell_length_b 4.212
_cell_length_c 2.622
_cell_angle_alpha 90.00
_cell_angle_beta 90.00
_cell_angle_gamma 120.00
_space_group_name_H-M_alt 'P 1'
_space_group_IT_number 1
loop_
_space_group_symop_operation_xyz
'x,y,z'
loop_
_atom_site_label
_atom_site_fract_x
_atom_site_fract_y
_atom_site_fract_z
Mn1 0.000 0.000 0.011
Zn1 0.333 0.667 0.715
Re1 0.667 0.333 0.275
# Excess energy over the best structure of this formula in the dataset   0.91 kcal/mol of atoms
# Symmetry   P3m1 (156)
# Formation enthalpy at 0 K   13 kJ per mole of atoms


Record 8
# MnZnRe, optimized geometry, DFT PBE
data_MnZnRe
_chemical_formula_sum 'Mn1 Zn1 Re1'
_cell_length_a 4.594
_cell_length_b 4.594
_cell_length_c 4.594
_cell_angle_alpha 146.93
_cell_angle_beta 129.41
_cell_angle_gamma 61.78
_space_group_name_H-M_alt 'P 1'
_space_group_IT_number 1
loop_
_space_group_symop_operation_xyz
'x,y,z'
loop_
_atom_site_label
_atom_site_fract_x
_atom_site_fract_y
_atom_site_fract_z
Zn1 0.666 0.666 0.000
Re1 0.334 0.334 0.000
Mn1 0.000 0.000 0.000
# Excess energy over the best structure of this formula in the dataset   1.81 kcal/mol of atoms
# Symmetry   Imm2 (44)
# Formation enthalpy at 0 K   17 kJ per mole of atoms


Record 9
# MnZnRe, optimized geometry, DFT PBE
data_MnZnRe
_chemical_formula_sum 'Mn2 Zn2 Re2'
_cell_length_a 4.301
_cell_length_b 3.024
_cell_length_c 6.797
_cell_angle_alpha 90.00
_cell_angle_beta 108.45
_cell_angle_gamma 90.00
_space_group_name_H-M_alt 'P 1'
_space_group_IT_number 1
loop_
_space_group_symop_operation_xyz
'x,y,z'
loop_
_atom_site_label
_atom_site_fract_x
_atom_site_fract_y
_atom_site_fract_z
Zn1 0.581 0.250 0.162
Zn2 0.419 0.750 0.838
Mn1 0.914 0.250 0.828
Mn2 0.086 0.750 0.172
Re1 0.238 0.250 0.476
Re2 0.762 0.750 0.524
# Excess energy over the best structure of this formula in the dataset   1.32 kcal/mol of atoms
# Symmetry   Cmcm (63)
# Formation enthalpy at 0 K   15 kJ per mole of atoms


Record 10
# Mn2ZnRe, optimized geometry, DFT PBE
data_Mn2ZnRe
_chemical_formula_sum 'Mn2 Zn1 Re1'
_cell_length_a 4.429
_cell_length_b 4.429
_cell_length_c 4.429
_cell_angle_alpha 128.65
_cell_angle_beta 128.65
_cell_angle_gamma 75.58
_space_group_name_H-M_alt 'P 1'
_space_group_IT_number 1
loop_
_space_group_symop_operation_xyz
'x,y,z'
loop_
_atom_site_label
_atom_site_fract_x
_atom_site_fract_y
_atom_site_fract_z
Re1 0.250 0.750 0.500
Mn1 0.500 0.500 0.000
Mn2 0.000 0.000 0.000
Zn1 0.750 0.250 0.500
# Symmetry   I4/mmm (139)
# Formation enthalpy at 0 K   12 kJ per mole of atoms


Record 11
# MnZnRe2, optimized geometry, DFT PBE
data_MnZnRe2
_chemical_formula_sum 'Mn1 Zn1 Re2'
_cell_length_a 4.274
_cell_length_b 2.626
_cell_length_c 5.134
_cell_angle_alpha 78.32
_cell_angle_beta 90.00
_cell_angle_gamma 90.00
_space_group_name_H-M_alt 'P 1'
_space_group_IT_number 1
loop_
_space_group_symop_operation_xyz
'x,y,z'
loop_
_atom_site_label
_atom_site_fract_x
_atom_site_fract_y
_atom_site_fract_z
Mn1 0.500 0.750 0.750
Re1 0.000 0.521 0.501
Re2 0.000 0.979 0.999
Zn1 0.500 0.250 0.250
# Symmetry   P2/m (10)
# Formation enthalpy at 0 K   18 kJ per mole of atoms


Record 12
# MnZnRe2, optimized geometry, DFT PBE
data_MnZnRe2
_chemical_formula_sum 'Mn2 Zn2 Re4'
_cell_length_a 7.106
_cell_length_b 7.106
_cell_length_c 5.601
_cell_angle_alpha 50.63
_cell_angle_beta 50.63
_cell_angle_gamma 90.00
_space_group_name_H-M_alt 'P 1'
_space_group_IT_number 1
loop_
_space_group_symop_operation_xyz
'x,y,z'
loop_
_atom_site_label
_atom_site_fract_x
_atom_site_fract_y
_atom_site_fract_z
Zn1 0.750 0.250 0.500
Zn2 0.000 0.000 0.000
Re1 0.188 0.625 0.250
Re2 0.562 0.125 0.250
Re3 0.875 0.812 0.750
Re4 0.375 0.438 0.750
Mn1 0.500 0.500 0.000
Mn2 0.250 0.750 0.500
# Symmetry   I-42d (122)
# Formation enthalpy at 0 K   71 kJ per mole of atoms


Record 13
# Mn2ZnRe, optimized geometry, DFT PBE
data_Mn2ZnRe
_chemical_formula_sum 'Mn2 Zn1 Re1'
_cell_length_a 8.672
_cell_length_b 8.672
_cell_length_c 8.672
_cell_angle_alpha 17.69
_cell_angle_beta 17.69
_cell_angle_gamma 17.69
_space_group_name_H-M_alt 'P 1'
_space_group_IT_number 1
loop_
_space_group_symop_operation_xyz
'x,y,z'
loop_
_atom_site_label
_atom_site_fract_x
_atom_site_fract_y
_atom_site_fract_z
Zn1 0.746 0.746 0.746
Mn1 0.255 0.255 0.255
Mn2 0.995 0.995 0.995
Re1 0.505 0.505 0.505
# Symmetry   R3m (160)
# Formation enthalpy at 0 K   18 kJ per mole of atoms


Record 14
# MnZnRe2, optimized geometry, DFT PBE
data_MnZnRe2
_chemical_formula_sum 'Mn1 Zn1 Re2'
_cell_length_a 2.640
_cell_length_b 2.640
_cell_length_c 8.616
_cell_angle_alpha 90.00
_cell_angle_beta 90.00
_cell_angle_gamma 109.40
_space_group_name_H-M_alt 'P 1'
_space_group_IT_number 1
loop_
_space_group_symop_operation_xyz
'x,y,z'
loop_
_atom_site_label
_atom_site_fract_x
_atom_site_fract_y
_atom_site_fract_z
Re1 0.000 0.000 0.512
Re2 0.000 0.000 0.988
Zn1 0.500 0.500 0.250
Mn1 0.500 0.500 0.750
# Symmetry   Cmmm (65)
# Formation enthalpy at 0 K   16 kJ per mole of atoms


Record 15
# MnZnRe2, optimized geometry, DFT PBE
data_MnZnRe2
_chemical_formula_sum 'Mn1 Zn1 Re2'
_cell_length_a 2.747
_cell_length_b 3.889
_cell_length_c 5.334
_cell_angle_alpha 90.00
_cell_angle_beta 90.00
_cell_angle_gamma 90.00
_space_group_name_H-M_alt 'P 1'
_space_group_IT_number 1
loop_
_space_group_symop_operation_xyz
'x,y,z'
loop_
_atom_site_label
_atom_site_fract_x
_atom_site_fract_y
_atom_site_fract_z
Re1 0.000 0.000 0.009
Re2 0.500 0.500 0.238
Zn1 0.000 0.000 0.512
Mn1 0.500 0.500 0.741
# Symmetry   Pmm2 (25)
# Formation enthalpy at 0 K   15 kJ per mole of atoms